Nb3InAu | PBE | optimized geometry

Properties
total moment = 0.944 μB per formula unit
ΔE to the lowest computed polymorph = 0.543 eV per atom
SG = Pm-3m, No. 221
DOS at the Fermi energy = 3.53 states/eV/f.u.

```
Nb3InAu
1.0
4.996 0.000 0.000
0.000 4.996 0.000
0.000 0.000 4.996
Nb Au In
3 1 1
direct
0.000 0.500 0.000
0.000 0.000 0.500
0.500 0.000 0.000
0.500 0.500 0.500
0.000 0.000 0.000
```